(1)
# SrNiPd PBE-GGA optimized geometry
data_SrNiPd
_cell_length_a 6.641
_cell_length_b 6.641
_cell_length_c 6.641
_cell_angle_alpha 90.00
_cell_angle_beta 90.00
_cell_angle_gamma 90.00
_space_group_name_H-M_alt 'F -4 3 m'
_space_group_IT_number 216
_space_group_name_Hall 'F -4 2 3'
loop_
_atom_site_label
_atom_site_type_symbol
_atom_site_fract_x
_atom_site_fract_y
_atom_site_fract_z
Sr1 Sr 0.000 0.000 0.000
Ni1 Ni 0.250 0.250 0.750
Pd1 Pd 0.250 0.250 0.250
# Final energy ... -42.914 eV per cell
# V ... 292.86 Å³/cell

---

(2)
# PmAg2 PBE-GGA optimized geometry
data_PmAg2
_cell_length_a 6.941
_cell_length_b 6.941
_cell_length_c 6.941
_cell_angle_alpha 90.00
_cell_angle_beta 90.00
_cell_angle_gamma 90.00
_space_group_name_H-M_alt 'F m -3 m'
_space_group_IT_number 225
_space_group_name_Hall '-F 4 2 3'
loop_
_atom_site_label
_atom_site_type_symbol
_atom_site_fract_x
_atom_site_fract_y
_atom_site_fract_z
Pm1 Pm 0.000 0.000 0.000
Ag1 Ag 0.250 0.250 0.250
# Final energy ... -39.749 eV per cell
# V ... 334.35 Å³/cell
# Formation energy ... 152 meV/atom
# Distance to the lowest polymorph of the same formula ... 432.9 meV/atom

---

(3)
# Ba2GaOsO6 PBE-GGA optimized geometry
data_Ba2GaOsO6
_cell_length_a 5.676
_cell_length_b 5.677
_cell_length_c 8.041
_cell_angle_alpha 90.01
_cell_angle_beta 90.00
_cell_angle_gamma 90.05
_space_group_name_H-M_alt 'P -1'
_space_group_IT_number 2
loop_
_space_group_symop_operation_xyz
'x,y,z'
'-x,-y,-z'
loop_
_atom_site_label
_atom_site_type_symbol
_atom_site_fract_x
_atom_site_fract_y
_atom_site_fract_z
Ba1 Ba 0.000 0.000 0.250
Ba2 Ba 0.500 0.500 0.250
Ga1 Ga 0.000 0.500 0.000
Ga2 Ga 0.500 0.000 0.500
Os1 Os 0.000 0.500 0.500
Os2 Os 0.500 0.000 0.000
O1 O 0.001 0.500 0.252
O2 O 0.244 0.248 0.500
O3 O 0.249 0.754 0.999
O4 O 0.253 0.745 0.501
O5 O 0.254 0.250 0.000
O6 O 0.499 0.000 0.248
# Final energy ... -134.343 eV per cell
# V ... 259.11 Å³/cell

---

(4)
# TmLuSbC PBE-GGA optimized geometry
data_TmLuSbC
_cell_length_a 3.5896
_cell_length_b 3.5896
_cell_length_c 14.8949
_cell_angle_alpha 90.00
_cell_angle_beta 90.00
_cell_angle_gamma 120.00
_space_group_name_H-M_alt 'P -3 m 1'
_space_group_IT_number 164
_space_group_name_Hall '-P 3 2"'
loop_
_atom_site_label
_atom_site_type_symbol
_atom_site_fract_x
_atom_site_fract_y
_atom_site_fract_z
Tm1 Tm 0.3333 0.6667 0.4130
Lu1 Lu 0.3333 0.6667 0.0854
Sb1 Sb 0.3333 0.6667 0.7515
C1 C 0.0000 0.0000 0.0000
C2 C 0.0000 0.0000 0.5000
# Final energy ... -50.267 eV per cell
# V ... 166.21 Å³/cell

---

(5)
# Li3Re2O6 PBE-GGA optimized geometry
data_Li3Re2O6
_cell_length_a 5.087
_cell_length_b 8.476
_cell_length_c 5.060
_cell_angle_alpha 90.00
_cell_angle_beta 105.43
_cell_angle_gamma 90.00
_space_group_name_H-M_alt 'C 1 2/m 1'
_space_group_IT_number 12
loop_
_space_group_symop_operation_xyz
'x,y,z'
'-x,-y,-z'
'-x,y,-z'
'x,-y,z'
'x+1/2,y+1/2,z'
'-x+1/2,-y+1/2,-z'
'-x+1/2,y+1/2,-z'
'x+1/2,-y+1/2,z'
loop_
_atom_site_label
_atom_site_type_symbol
_atom_site_fract_x
_atom_site_fract_y
_atom_site_fract_z
Li1 Li 0.000 0.000 0.000
Li2 Li 0.000 0.165 0.500
Re1 Re 0.000 0.360 0.000
O1 O 0.236 0.180 0.220
O2 O 0.244 0.000 0.737
# Final energy ... -158.219 eV per cell
# V ... 210.31 Å³/cell

---

(6)
# Er3Tm3CoTe2 PBE-GGA optimized geometry
data_Er3Tm3CoTe2
_cell_length_a 8.2560
_cell_length_b 8.2560
_cell_length_c 3.8873
_cell_angle_alpha 90.00
_cell_angle_beta 90.00
_cell_angle_gamma 120.00
_space_group_name_H-M_alt 'P -6 2 m'
_space_group_IT_number 189
_space_group_name_Hall 'P -6 -2'
loop_
_atom_site_label
_atom_site_type_symbol
_atom_site_fract_x
_atom_site_fract_y
_atom_site_fract_z
Er1 Er 0.0000 0.2357 0.0000
Tm1 Tm 0.0000 0.6053 0.5000
Co1 Co 0.0000 0.0000 0.5000
Te1 Te 0.3333 0.6667 0.0000
# Final energy ... -46.321 eV per cell
# V ... 229.46 Å³/cell
# Distance to the lowest polymorph of the same formula ... 17.1 meV/atom